No. 1
CeMg8Cu4: relaxed, PBE.

Output
SG	I4/mmm (139)
theoretical density	3958	kg/m3
N(E_F)	12.87	states/eV per cell
calculated volume	19.00	Å³/atom
DFT formation energy	-7.4	kJ/mol of atoms

Cell lengths 7.2953, 7.2953, 7.2953 Å; angles 97.77, 97.77, 136.84 degrees
Element x y z (fractional)
1 Ce 0.0000 0.0000 0.0000
2 Mg 0.0000 0.3421 0.3421
3 Mg 0.0000 0.6579 0.6579
4 Mg 0.2833 0.5000 0.7833
5 Mg 0.3421 0.0000 0.3421
6 Mg 0.5000 0.2833 0.7833
7 Mg 0.5000 0.7167 0.2167
8 Mg 0.6579 0.0000 0.6579
9 Mg 0.7167 0.5000 0.2167
10 Cu 0.0000 0.0000 0.5000
11 Cu 0.0000 0.5000 0.0000
12 Cu 0.5000 0.0000 0.0000
13 Cu 0.5000 0.5000 0.5000



No. 2
Pm4HgBi3: relaxed, PBE.

Output
SG	Pm-3m (221)
theoretical density	8756	kg/m3
N(E_F)	8.63	states/eV per cell
calculated volume	33.37	Å³/atom
DFT formation energy	-70.1	kJ/mol of atoms

Cell lengths 6.4387, 6.4387, 6.4387 Å; angles 90.00, 90.00, 90.00 degrees
Element x y z (fractional)
1 Pm 0.0000 0.0000 0.0000
2 Pm 0.0000 0.5000 0.5000
3 Pm 0.5000 0.0000 0.5000
4 Pm 0.5000 0.5000 0.0000
5 Hg 0.5000 0.5000 0.5000
6 Bi 0.0000 0.0000 0.5000
7 Bi 0.0000 0.5000 0.0000
8 Bi 0.5000 0.0000 0.0000



No. 3
Ho3Er7Sc: relaxed, PBE.

Output
relative energy among the computed polymorphs	0.000	eV/atom
SG	P2/m (10)
theoretical density	8339	kg/m3
N(E_F)	16.72	states/eV per cell
calculated volume	30.96	Å³/atom
DFT formation energy	15.5	kJ/mol of atoms

Cell lengths 6.7038, 5.3785, 9.7479 Å; angles 90.00, 104.28, 90.00 degrees
Element x y z (fractional)
1 Ho 0.0000 0.0000 0.0000
2 Ho 0.2681 0.5000 0.4786
3 Ho 0.7319 0.5000 0.5214
4 Er 0.0000 0.0000 0.5000
5 Er 0.1648 0.5000 0.7849
6 Er 0.3141 0.5000 0.1241
7 Er 0.4623 0.0000 0.3269
8 Er 0.5377 0.0000 0.6731
9 Er 0.6859 0.5000 0.8759
10 Er 0.8352 0.5000 0.2151
11 Sc 0.5000 0.0000 0.0000



Please write out number 3 again, unchanged.
Ho3Er7Sc: relaxed, PBE.

Output
relative energy among the computed polymorphs	0.000	eV/atom
SG	P2/m (10)
theoretical density	8339	kg/m3
N(E_F)	16.72	states/eV per cell
calculated volume	30.96	Å³/atom
DFT formation energy	15.5	kJ/mol of atoms

Cell lengths 6.7038, 5.3785, 9.7479 Å; angles 90.00, 104.28, 90.00 degrees
Element x y z (fractional)
1 Ho 0.0000 0.0000 0.0000
2 Ho 0.2681 0.5000 0.4786
3 Ho 0.7319 0.5000 0.5214
4 Er 0.0000 0.0000 0.5000
5 Er 0.1648 0.5000 0.7849
6 Er 0.3141 0.5000 0.1241
7 Er 0.4623 0.0000 0.3269
8 Er 0.5377 0.0000 0.6731
9 Er 0.6859 0.5000 0.8759
10 Er 0.8352 0.5000 0.2151
11 Sc 0.5000 0.0000 0.0000



Please write out number 1 again, unchanged.
CeMg8Cu4: relaxed, PBE.

Output
SG	I4/mmm (139)
theoretical density	3958	kg/m3
N(E_F)	12.87	states/eV per cell
calculated volume	19.00	Å³/atom
DFT formation energy	-7.4	kJ/mol of atoms

Cell lengths 7.2953, 7.2953, 7.2953 Å; angles 97.77, 97.77, 136.84 degrees
Element x y z (fractional)
1 Ce 0.0000 0.0000 0.0000
2 Mg 0.0000 0.3421 0.3421
3 Mg 0.0000 0.6579 0.6579
4 Mg 0.2833 0.5000 0.7833
5 Mg 0.3421 0.0000 0.3421
6 Mg 0.5000 0.2833 0.7833
7 Mg 0.5000 0.7167 0.2167
8 Mg 0.6579 0.0000 0.6579
9 Mg 0.7167 0.5000 0.2167
10 Cu 0.0000 0.0000 0.5000
11 Cu 0.0000 0.5000 0.0000
12 Cu 0.5000 0.0000 0.0000
13 Cu 0.5000 0.5000 0.5000



Which value of N(E_F) does entry 3 give?
16.72 states/eV per cell



The lowest DFT formation energy belongs to which entry?
Pm4HgBi3